Entry from Alexandria: an optimized crystal structure of NaCoBi2F (PBE with a Hubbard U).

Structure (CIF):
```
data_NaCoBi2F
_chemical_formula_sum 'Na1 Co1 Bi2 F1'
_cell_length_a 5.6355
_cell_length_b 5.6355
_cell_length_c 3.7989
_cell_angle_alpha 90.00
_cell_angle_beta 90.00
_cell_angle_gamma 90.00
_symmetry_space_group_name_H-M 'P 4/m m m'
_symmetry_Int_Tables_number 123
_symmetry_space_group_name_Hall '-P 4 2'
loop_
_atom_site_label
_atom_site_fract_x
_atom_site_fract_y
_atom_site_fract_z
_atom_site_occupancy
Na1 0.0000 0.0000 0.0000 1
Co1 0.5000 0.5000 0.0000 1
Bi1 0.0000 0.5000 0.5000 1
F1 0.5000 0.5000 0.5000 1
```

D(E_F) = 3.63 states/eV per cell
size of the total moment = 2.36 μB/f.u.
DFT total energy = -3.309 eV/atom
crystal system = tetragonal